Record 1
Here is a relaxed structure of SmAl4Ag8 from Alexandria. Energies are from PBE-GGA.

Results
N(E_F) = 5.0 states/eV per cell
VASP energy = -3.471 eV per atom
calculated volume = 236.30 Å³/cell
space group = I4/mmm, No. 139
mass density = 7.88 g cm⁻³

Unit cell a=7.1508 b=7.1508 c=7.1508 alpha=98.15 beta=98.15 gamma=135.77
Atoms (fractional coordinates):
1 Sm 0.0000 0.0000 0.0000
2 Al 0.0000 0.0000 0.5000
3 Al 0.0000 0.5000 0.0000
4 Al 0.5000 0.0000 0.0000
5 Al 0.5000 0.5000 0.5000
6 Ag 0.0000 0.3438 0.3438
7 Ag 0.0000 0.6562 0.6562
8 Ag 0.2829 0.5000 0.7829
9 Ag 0.3438 0.0000 0.3438
10 Ag 0.5000 0.2829 0.7829
11 Ag 0.5000 0.7171 0.2171
12 Ag 0.6562 0.0000 0.6562
13 Ag 0.7171 0.5000 0.2171

Record 2
Here is a relaxed structure of Sm2Al4Ag5 from Alexandria. Energies are from PBE-GGA.

Results
N(E_F) = 4.5 states/eV per cell
VASP energy = -3.709 eV per atom
calculated volume = 223.43 Å³/cell
space group = Immm, No. 71
mass density = 7.05 g cm⁻³

Unit cell a=6.8617 b=6.8617 c=6.8617 alpha=130.36 beta=100.40 gamma=99.90
Atoms (fractional coordinates):
1 Sm 0.2127 0.0000 0.2127
2 Sm 0.7873 0.0000 0.7873
3 Al 0.0874 0.3406 0.7468
4 Al 0.4062 0.6594 0.7468
5 Al 0.5938 0.3406 0.2532
6 Al 0.9126 0.6594 0.2532
7 Ag 0.0000 0.5000 0.5000
8 Ag 0.2992 0.0470 0.7477
9 Ag 0.2992 0.5515 0.2523
10 Ag 0.7008 0.4485 0.7477
11 Ag 0.7008 0.9530 0.2523

Question: Which value of N(E_F) does entry 2 give?
Answer: 4.5 states/eV per cell